Record 1
A plane-wave DFT calculation with PBE-GGA was carried out for a relaxed TmS crystal.

a = 4.2480 Å, b = 4.2480 Å, c = 27.8769 Å
α = 90.00°, β = 90.00°, γ = 120.00°
Last column: nearest neighbours and their distance in Å.
Space group P6_3mc (No. 186)
Unique sites:
Tm (0.0000, 0.0000, 0.0000) x2  4 S 2.60
Tm (0.3333, 0.6667, 0.1248) x2  4 S 2.60
Tm (0.3333, 0.6667, 0.3761) x2  4 S 2.60-2.62
Tm (0.3333, 0.6667, 0.7489) x2  4 S 2.60-2.62
S (0.0000, 0.0000, 0.0934) x2  4 Tm 2.60
S (0.3333, 0.6667, 0.2182) x2  4 Tm 2.60
S (0.3333, 0.6667, 0.4692) x2  4 Tm 2.60
S (0.3333, 0.6667, 0.8428) x2  4 Tm 2.62

VASP energy ... -5.799 eV per atom
Spin magnetization ... 0.034 μB/f.u.
Crystal system ... hexagonal

Record 2
A plane-wave DFT calculation with PBE-GGA was carried out for a relaxed Tm2S3 crystal.

a = 12.5236 Å, b = 12.5236 Å, c = 12.5236 Å
α = 90.00°, β = 90.00°, γ = 90.00°
Last column: nearest neighbours and their distance in Å.
Space group Ia-3 (No. 206)
Unique sites:
Tm (0.0000, 0.2500, 0.4516) x24  6 S 2.70-2.71
Tm (0.2500, 0.2500, 0.2500) x8  6 S 2.70
S (0.1064, 0.1607, 0.6168) x48  4 Tm 2.70-2.71

VASP energy ... -6.348 eV per atom
Spin magnetization ... 0.000 μB/f.u.
Crystal system ... cubic

Record 3
A plane-wave DFT calculation with PBE-GGA was carried out for a relaxed Tm2S crystal.

a = 11.8287 Å, b = 11.8287 Å, c = 11.8287 Å
α = 90.00°, β = 90.00°, γ = 90.00°
Last column: nearest neighbours and their distance in Å.
Space group Fd-3m (No. 227, origin choice 2)
Unique sites:
Tm (0.0000, 0.0000, 0.0000) x16  2 S 2.56
S (0.1250, 0.1250, 0.1250) x8  4 Tm 2.56

VASP energy ... -3.729 eV per atom
Spin magnetization ... 4.227 μB/f.u.
Crystal system ... cubic

Record 4
A plane-wave DFT calculation with PBE-GGA was carried out for a relaxed Tm5S6 crystal.

a = 6.6477 Å, b = 11.4766 Å, c = 6.6192 Å
α = 90.00°, β = 109.47°, γ = 90.00°
Last column: nearest neighbours and their distance in Å.
Space group C2/m (No. 12)
Unique sites:
Tm (0.0000, 0.0000, 0.0000) x2  6 S 2.70-2.73
Tm (0.0000, 0.1655, 0.5000) x4  6 S 2.69-2.72
Tm (0.0000, 0.3367, 0.0000) x4  6 S 2.69-2.73
S (0.2504, 0.0000, 0.7458) x4  5 Tm 2.69-2.73
S (0.2498, 0.1667, 0.2493) x8  5 Tm 2.70-2.73

VASP energy ... -6.330 eV per atom
Spin magnetization ... 0.001 μB/f.u.
Crystal system ... monoclinic

Number 2 is which compound? Tm2S3

VASP energy of number 1 (TmS)? -5.799 eV per atom